Crystalline PbAuN2O at its relaxed geometry. Source: Alexandria, functional GGA-PBE.

a = 4.139 Å, b = 4.139 Å, c = 4.665 Å
α = 90.00°, β = 90.00°, γ = 90.00°
Site moments in Bohr magnetons follow the coordinates.
Sites, in units of the cell vectors:
1 Pb 0.500 0.500 0.500  -0.02
2 Au 0.000 0.000 0.000  0.20
3 O 0.000 0.000 0.500  0.09
4 N 0.000 0.500 0.000  0.79
5 N 0.500 0.000 0.000  0.79

Calculated values
crystal system	tetragonal
calculated total energy	-22.4	eV per cell
N(E_F)	2.15	states/eV/cell

---

Crystalline Sc2PtPb at its relaxed geometry. Source: Alexandria, functional GGA-PBE.

a = 4.640 Å, b = 4.640 Å, c = 3.852 Å
α = 90.03°, β = 90.03°, γ = 90.00°
Sites, in units of the cell vectors:
1 Pb 0.500 0.000 0.500
2 Pt 0.000 0.500 0.500
3 Sc 0.000 0.000 0.000
4 Sc 0.500 0.500 0.000

Calculated values
crystal system	tetragonal
energy relative to the elements	-0.68	eV/atom
calculated total energy	-25.1	eV per cell
N(E_F)	2.70	states/eV/cell

---

Crystalline Li3Hg2Pd at its relaxed geometry. Source: Alexandria, functional GGA-PBE.

a = 4.487 Å, b = 4.487 Å, c = 5.606 Å
α = 90.00°, β = 90.00°, γ = 120.00°
Sites, in units of the cell vectors:
1 Li 0.000 0.000 0.500
2 Li 0.667 0.333 0.832
3 Li 0.333 0.667 0.168
4 Hg 0.667 0.333 0.308
5 Hg 0.333 0.667 0.692
6 Pd 0.000 0.000 0.000

Calculated values
crystal system	trigonal
energy relative to the elements	-0.39	eV/atom
calculated total energy	-13.9	eV per cell
N(E_F)	2.99	states/eV/cell

---

N(E_F) of number 2 (Sc2PtPb)?
2.70 states/eV/cell

---

Among the records above, which one has the lowest calculated total energy?
Sc2PtPb